Record 1
First-principles (PBE-GGA) data for Ta4MnPt5 after structural relaxation, as listed in Alexandria via LeMat-Bulk.

Lattice parameters (Å, degrees): 2.838 2.838 20.071 90.00 90.00 90.00
Last column: magnetic moment on the atom in μB.
Sites, in units of the cell vectors:
Ta  0.000  0.000  0.193  -0.01
Ta  0.000  0.000  0.398  -0.01
Ta  0.000  0.000  0.602  -0.01
Ta  0.000  0.000  0.807  -0.01
Mn  0.000  0.000  0.000  3.77
Pt  0.500  0.500  0.094  0.16
Pt  0.500  0.500  0.296  -0.02
Pt  0.500  0.500  0.500  -0.02
Pt  0.500  0.500  0.704  -0.02
Pt  0.500  0.500  0.906  0.16

Summary:
electronic total energy = -92.9 eV/cell
size of the total moment = 0.409 μB/atom
formation energy = -607 meV/atom
SG = P4/mmm, No. 123
crystal system = tetragonal



Record 2
First-principles (PBE-GGA) data for CsU2Cu2S6 after structural relaxation, as listed in Alexandria via LeMat-Bulk.

Lattice parameters (Å, degrees): 7.222 7.707 7.695 122.67 90.21 61.98
Last column: magnetic moment on the atom in μB.
Sites, in units of the cell vectors:
Cs  0.500  0.000  0.500  0.01
U  0.831  0.339  0.832  1.71
U  0.169  0.661  0.168  1.71
Cu  0.179  0.740  0.805  -0.06
Cu  0.821  0.260  0.195  -0.06
S  0.415  0.739  0.994  -0.07
S  0.005  0.407  0.152  -0.07
S  0.145  0.844  0.585  -0.06
S  0.995  0.593  0.848  -0.07
S  0.855  0.156  0.415  -0.06
S  0.585  0.261  0.006  -0.07

Summary:
electronic total energy = -67.3 eV/cell
energy relative to the elements, uncorrected = -0.99 eV per atom
size of the total moment = 0.273 μB/atom
SG = P-1, No. 2
crystal system = triclinic



Record 3
First-principles (PBE-GGA) data for KCd2Sb after structural relaxation, as listed in Alexandria via LeMat-Bulk.

Lattice parameters (Å, degrees): 6.042 6.042 3.482 90.00 90.00 112.47
Sites, in units of the cell vectors:
Cd  0.000  0.000  0.000
Cd  0.500  0.500  0.000
K  0.500  0.000  0.500
Sb  0.000  0.500  0.500

Summary:
electronic total energy = -6.7 eV/cell
energy relative to the elements, uncorrected = 0.09 eV per atom
size of the total moment = 0.000 μB/atom
SG = Cmmm, No. 65
crystal system = orthorhombic



Record 4
First-principles (PBE-GGA) data for SmGdMgBi after structural relaxation, as listed in Alexandria via LeMat-Bulk.

Lattice parameters (Å, degrees): 5.479 5.479 5.479 60.00 60.00 60.00
Last column: magnetic moment on the atom in μB.
Sites, in units of the cell vectors:
Mg  0.250  0.250  0.250  0.01
Gd  0.500  0.500  0.500  -7.12
Bi  0.750  0.750  0.750  0.03
Sm  0.000  0.000  0.000  -0.08

Summary:
electronic total energy = -25.7 eV/cell
size of the total moment = 1.876 μB/atom
formation energy = -349 meV/atom
SG = F-43m, No. 216
crystal system = cubic